No. 1
! Ga2CuCl, optimized geometry, DFT PBE-GGA; values from VASP
! E_form (uncorrected): -34 meV per atom
! relative energy among the computed polymorphs: 0.000 eV per formula unit
! mass density: 3.8 g/cm³
! total DFT energy (no corrections): -12.1 eV/f.u.
! space group: I-42d
&SYSTEM
  ibrav = 0, nat = 16, ntyp = 3
/
ATOMIC_SPECIES
Ga 69.72 Ga.upf
Cu 63.55 Cu.upf
Cl 35.45 Cl.upf
CELL_PARAMETERS angstrom
6.039 0.000 0.000
0.000 6.039 0.000
0.000 0.000 11.465
ATOMIC_POSITIONS crystal
Ga 0.193 0.250 0.125
Ga 0.250 0.693 0.375
Ga 0.250 0.807 0.875
Ga 0.307 0.250 0.625
Ga 0.693 0.750 0.625
Ga 0.750 0.193 0.875
Ga 0.750 0.307 0.375
Ga 0.807 0.750 0.125
Cu 0.000 0.000 0.000
Cu 0.000 0.500 0.250
Cu 0.500 0.000 0.750
Cu 0.500 0.500 0.500
Cl 0.000 0.000 0.500
Cl 0.000 0.500 0.750
Cl 0.500 0.000 0.250
Cl 0.500 0.500 0.000


No. 2
! Pm2DyH, optimized geometry, DFT PBE-GGA; values from VASP
! relative energy among the computed polymorphs: 0.000 eV per formula unit
! mass density: 7.4 g/cm³
! total DFT energy (no corrections): -18.1 eV/f.u.
! space group: R-3m
&SYSTEM
  ibrav = 0, nat = 12, ntyp = 3
/
ATOMIC_SPECIES
Pm 145.00 Pm.upf
Dy 162.50 Dy.upf
H 1.01 H.upf
CELL_PARAMETERS angstrom
3.667 0.000 0.000
-1.834 3.176 0.000
0.000 0.000 26.089
ATOMIC_POSITIONS crystal
Pm 0.000 0.000 0.222
Pm 0.000 0.000 0.778
Pm 0.333 0.667 0.445
Pm 0.333 0.667 0.889
Pm 0.667 0.333 0.111
Pm 0.667 0.333 0.555
Dy 0.000 0.000 0.000
Dy 0.333 0.667 0.667
Dy 0.667 0.333 0.333
H 0.000 0.000 0.500
H 0.333 0.667 0.167
H 0.667 0.333 0.833


No. 3
! Hf3MnRu, optimized geometry, DFT PBE-GGA; values from VASP
! relative energy among the computed polymorphs: 1.865 eV per formula unit
! formation energy: 0.92 eV/atom
! mass density: 9.8 g/cm³
! total DFT energy (no corrections): -43.7 eV/f.u.
! space group: Pm-3m
&SYSTEM
  ibrav = 0, nat = 5, ntyp = 3
/
ATOMIC_SPECIES
Hf 178.49 Hf.upf
Mn 54.94 Mn.upf
Ru 101.07 Ru.upf
CELL_PARAMETERS angstrom
4.894 0.000 0.000
0.000 4.894 0.000
0.000 0.000 4.894
ATOMIC_POSITIONS crystal
Hf 0.000 0.000 0.500
Hf 0.000 0.500 0.000
Hf 0.500 0.000 0.000
Mn 0.500 0.500 0.500
Ru 0.000 0.000 0.000


No. 4
! TbTiAl, optimized geometry, DFT PBE-GGA; values from VASP
! relative energy among the computed polymorphs: 0.000 eV per formula unit
! formation energy: -0.15 eV/atom
! mass density: 5.7 g/cm³
! total DFT energy (no corrections): -16.7 eV/f.u.
! space group: P-62m
&SYSTEM
  ibrav = 0, nat = 9, ntyp = 3
/
ATOMIC_SPECIES
Tb 158.93 Tb.upf
Ti 47.87 Ti.upf
Al 26.98 Al.upf
CELL_PARAMETERS angstrom
7.216 0.000 0.000
-3.608 6.249 0.000
0.000 0.000 4.509
ATOMIC_POSITIONS crystal
Tb 0.000 0.432 0.000
Tb 0.432 0.000 0.000
Tb 0.568 0.568 0.000
Ti 0.000 0.780 0.500
Ti 0.220 0.220 0.500
Ti 0.780 0.000 0.500
Al 0.000 0.000 0.000
Al 0.333 0.667 0.500
Al 0.667 0.333 0.500


No. 5
! CsTaAg2F8, optimized geometry, DFT PBE-GGA; values from VASP
! E_form (uncorrected): -2369 meV per atom
! mass density: 4.6 g/cm³
! total DFT energy (no corrections): -61.8 eV/f.u.
! space group: R32
&SYSTEM
  ibrav = 0, nat = 12, ntyp = 4
/
ATOMIC_SPECIES
Cs 132.91 Cs.upf
Ta 180.95 Ta.upf
Ag 107.87 Ag.upf
F 19.00 F.upf
CELL_PARAMETERS angstrom
2.771 1.600 9.223
-2.771 1.600 9.223
0.000 -3.200 9.223
ATOMIC_POSITIONS crystal
Cs 0.000 0.000 0.000
Ta 0.500 0.500 0.500
Ag 0.274 0.274 0.274
Ag 0.726 0.726 0.726
F 0.134 0.621 0.624
F 0.351 0.351 0.351
F 0.376 0.379 0.866
F 0.379 0.866 0.376
F 0.621 0.624 0.134
F 0.624 0.134 0.621
F 0.649 0.649 0.649
F 0.866 0.376 0.379


No. 6
! La2SmSnN, optimized geometry, DFT PBE-GGA; values from VASP
! E_form (uncorrected): -1001 meV per atom
! mass density: 7.2 g/cm³
! total DFT energy (no corrections): -31.9 eV/f.u.
! space group: P4/mmm
&SYSTEM
  ibrav = 0, nat = 5, ntyp = 4
/
ATOMIC_SPECIES
La 138.91 La.upf
Sm 150.36 Sm.upf
Sn 118.71 Sn.upf
N 14.01 N.upf
CELL_PARAMETERS angstrom
5.086 0.000 0.000
0.000 5.086 0.000
0.000 0.000 4.994
ATOMIC_POSITIONS crystal
La 0.000 0.500 0.000
La 0.500 0.000 0.000
Sm 0.000 0.000 0.500
Sn 0.500 0.500 0.500
N 0.000 0.000 0.000


No. 7
! Cs2MgHg7, optimized geometry, DFT PBE-GGA; values from VASP
! formation energy: -0.19 eV/atom
! mass density: 8.2 g/cm³
! total DFT energy (no corrections): -7.3 eV/f.u.
! space group: P-4m2
&SYSTEM
  ibrav = 0, nat = 10, ntyp = 3
/
ATOMIC_SPECIES
Cs 132.91 Cs.upf
Mg 24.30 Mg.upf
Hg 200.59 Hg.upf
CELL_PARAMETERS angstrom
5.108 0.000 0.000
0.000 5.108 0.000
0.000 0.000 13.195
ATOMIC_POSITIONS crystal
Cs 0.000 0.500 0.246
Cs 0.500 0.000 0.754
Mg 0.000 0.000 0.500
Hg 0.000 0.000 0.000
Hg 0.000 0.500 0.623
Hg 0.000 0.500 0.862
Hg 0.500 0.000 0.138
Hg 0.500 0.000 0.377
Hg 0.500 0.500 0.000
Hg 0.500 0.500 0.500


No. 8
! ThPbSe3, optimized geometry, DFT PBE-GGA; values from VASP
! E_form (uncorrected): -1202 meV per atom
! relative energy among the computed polymorphs: 0.000 eV per formula unit
! mass density: 6.6 g/cm³
! total DFT energy (no corrections): -27.6 eV/f.u.
! space group: P2_1/m
&SYSTEM
  ibrav = 0, nat = 10, ntyp = 3
/
ATOMIC_SPECIES
Th 232.04 Th.upf
Pb 207.20 Pb.upf
Se 78.96 Se.upf
CELL_PARAMETERS angstrom
7.784 0.000 0.000
0.000 4.332 0.000
-0.213 0.000 10.020
ATOMIC_POSITIONS crystal
Th 0.076 0.250 0.194
Th 0.924 0.750 0.806
Pb 0.439 0.250 0.808
Pb 0.561 0.750 0.192
Se 0.088 0.250 0.672
Se 0.211 0.750 0.014
Se 0.399 0.250 0.334
Se 0.601 0.750 0.666
Se 0.789 0.250 0.986
Se 0.912 0.750 0.328


No. 9
! CeU2O6, optimized geometry, DFT PBE-GGA; values from VASP
! E_form (uncorrected): -3391 meV per atom
! relative energy among the computed polymorphs: 0.000 eV per formula unit
! mass density: 9.8 g/cm³
! total DFT energy (no corrections): -88.8 eV/f.u.
! space group: P-3m1
&SYSTEM
  ibrav = 0, nat = 9, ntyp = 3
/
ATOMIC_SPECIES
Ce 140.12 Ce.upf
U 238.03 U.upf
O 16.00 O.upf
CELL_PARAMETERS angstrom
3.855 0.000 0.000
-1.928 3.339 0.000
0.000 0.000 9.388
ATOMIC_POSITIONS crystal
Ce 0.000 0.000 0.000
U 0.333 0.667 0.666
U 0.667 0.333 0.334
O 0.000 0.000 0.263
O 0.000 0.000 0.737
O 0.333 0.667 0.419
O 0.333 0.667 0.905
O 0.667 0.333 0.095
O 0.667 0.333 0.581


No. 10
! Ti2PPb2, optimized geometry, DFT PBE-GGA; values from VASP
! formation energy: -0.21 eV/atom
! mass density: 8.7 g/cm³
! total DFT energy (no corrections): -29.7 eV/f.u.
! space group: P4/mbm
&SYSTEM
  ibrav = 0, nat = 10, ntyp = 3
/
ATOMIC_SPECIES
Ti 47.87 Ti.upf
P 30.97 P.upf
Pb 207.20 Pb.upf
CELL_PARAMETERS angstrom
6.554 0.000 0.000
0.000 6.554 0.000
0.000 0.000 4.833
ATOMIC_POSITIONS crystal
Ti 0.159 0.341 0.000
Ti 0.341 0.841 0.000
Ti 0.659 0.159 0.000
Ti 0.841 0.659 0.000
P 0.000 0.000 0.000
P 0.500 0.500 0.000
Pb 0.167 0.667 0.500
Pb 0.333 0.167 0.500
Pb 0.667 0.833 0.500
Pb 0.833 0.333 0.500


No. 11
! Sm2MgSn, optimized geometry, DFT PBE-GGA; values from VASP
! formation energy: -0.46 eV/atom
! mass density: 6.7 g/cm³
! total DFT energy (no corrections): -16.9 eV/f.u.
! space group: P4/mmm
&SYSTEM
  ibrav = 0, nat = 4, ntyp = 3
/
ATOMIC_SPECIES
Sm 150.36 Sm.upf
Mg 24.30 Mg.upf
Sn 118.71 Sn.upf
CELL_PARAMETERS angstrom
4.977 0.000 0.000
0.000 4.977 0.000
0.000 0.000 4.458
ATOMIC_POSITIONS crystal
Sm 0.000 0.500 0.000
Sm 0.500 0.000 0.000
Mg 0.000 0.000 0.500
Sn 0.500 0.500 0.500


No. 12
! SmTm6In, optimized geometry, DFT PBE-GGA; values from VASP
! formation energy: -0.11 eV/atom
! mass density: 9.1 g/cm³
! total DFT energy (no corrections): -35.1 eV/f.u.
! space group: P4/mmm
&SYSTEM
  ibrav = 0, nat = 8, ntyp = 3
/
ATOMIC_SPECIES
Sm 150.36 Sm.upf
Tm 168.93 Tm.upf
In 114.82 In.upf
CELL_PARAMETERS angstrom
4.865 0.000 0.000
0.000 4.865 0.000
0.000 0.000 9.875
ATOMIC_POSITIONS crystal
Sm 0.000 0.000 0.000
Tm 0.000 0.500 0.257
Tm 0.000 0.500 0.743
Tm 0.500 0.000 0.257
Tm 0.500 0.000 0.743
Tm 0.500 0.500 0.000
Tm 0.500 0.500 0.500
In 0.000 0.000 0.500


no.,V (Å³/f.u.)
1,104.5
2,101.3
3,117.2
4,67.8
5,245.4
6,129.2
7,344.3
8,168.9
9,120.8
10,103.8
11,110.4
12,233.7